(1)
A geometry-optimized Dy2U3Ru4 structure. Source: Alexandria, functional PBE-GGA.

Lattice parameters (Å, degrees): 6.8183 8.9714 8.9714 105.85 67.67 67.67
Each line ends with the local moment (μB).
Positions (direct):
U (0.7500, 0.7500, 0.7500)  1.66
U (0.7500, 0.5181, 0.9819)  1.25
U (0.2500, 0.4819, 0.0181)  1.25
U (0.2500, 0.2500, 0.2500)  1.66
U (0.7500, 0.9819, 0.5181)  1.25
U (0.2500, 0.0181, 0.4819)  1.25
Dy (0.8389, 0.0863, 0.9137)  0.16
Dy (0.3389, 0.4137, 0.5863)  0.16
Dy (0.6611, 0.5863, 0.4137)  0.16
Dy (0.1611, 0.9137, 0.0863)  0.16
Ru (0.4012, 0.9570, 0.7077)  -0.16
Ru (0.0988, 0.7923, 0.5430)  -0.16
Ru (0.9012, 0.2077, 0.4570)  -0.16
Ru (0.0659, 0.2923, 0.0430)  -0.16
Ru (0.4341, 0.4570, 0.2077)  -0.16
Ru (0.5659, 0.5430, 0.7923)  -0.16
Ru (0.5988, 0.0430, 0.2923)  -0.16
Ru (0.9341, 0.7077, 0.9570)  -0.16

Results
SG: Ibam
Total energy: -8.94 eV per atom
Volume: 22.77 Å³/atom
Crystal system: orthorhombic

***

(2)
A geometry-optimized Dy2URu3 structure. Source: Alexandria, functional PBE-GGA.

Lattice parameters (Å, degrees): 3.9878 6.6353 5.8118 66.05 69.94 72.51
Positions (direct):
Dy (0.5825, 0.1546, 0.6805)
Dy (0.4140, 0.7968, 0.3753)
Ru (0.1075, 0.8346, 0.9504)
Ru (0.8422, 0.1732, 0.1425)
Ru (0.8203, 0.5965, 0.7629)
U (0.2336, 0.4443, 0.0884)

Results
SG: Cm
Total energy: -8.33 eV per atom
Offset from the most stable computed form: 42 meV/atom
Volume: 21.61 Å³/atom
Crystal system: monoclinic

***

(3)
A geometry-optimized DyURu3 structure. Source: Alexandria, functional PBE-GGA.

Lattice parameters (Å, degrees): 5.6315 5.6291 8.2686 59.82 59.88 59.98
Positions (direct):
U (0.6062, 0.7033, 0.1274)
U (0.0849, 0.2268, 0.6202)
Ru (0.1019, 0.2383, 0.9012)
Ru (0.0644, 0.1965, 0.3460)
Ru (0.1114, 0.6993, 0.9546)
Ru (0.5992, 0.1944, 0.3006)
Ru (0.0793, 0.7273, 0.3001)
Ru (0.5721, 0.2213, 0.9553)
Dy (0.7108, 0.8504, 0.7012)
Dy (0.4528, 0.5921, 0.5542)

Results
SG: P1
Total energy: -8.91 eV per atom
Offset from the most stable computed form: 48 meV/atom
Volume: 18.49 Å³/atom
Crystal system: triclinic

***

Looking at total moment for the records above, in order, we have 8.6 0.0 0.0 μB per cell.